Entry 1:
Here is a relaxed CsZr6MnI14 crystal from Alexandria via LeMat-Bulk. Energies are from PBE.

a b c (Å): 11.180 11.180 13.372
angles (deg): 90.00 90.00 94.49
Atoms (fractional coordinates):
I: 0.035 0.788 0.748
I: 0.859 0.611 0.992
I: 0.788 0.035 0.748
Zr: 0.365 0.365 0.901
I: 0.465 0.712 0.248
Zr: 0.173 0.955 0.612
I: 0.611 0.859 0.992
I: 0.250 0.750 0.000
Zr: 0.673 0.455 0.888
I: 0.250 0.750 0.500
Cs: 0.500 0.500 0.500
Zr: 0.135 0.135 0.401
Zr: 0.545 0.327 0.112
I: 0.606 0.106 0.250
I: 0.750 0.250 0.500
Mn: 0.500 0.500 0.000
I: 0.653 0.653 0.741
I: 0.347 0.347 0.259
Zr: 0.955 0.173 0.612
I: 0.889 0.641 0.492
Cs: 0.000 0.000 0.000
Zr: 0.865 0.865 0.599
I: 0.750 0.250 0.000
I: 0.389 0.141 0.008
I: 0.106 0.606 0.250
I: 0.212 0.965 0.252
Zr: 0.327 0.545 0.112
I: 0.359 0.111 0.508
I: 0.894 0.394 0.750
I: 0.847 0.847 0.241
I: 0.288 0.535 0.752
Zr: 0.455 0.673 0.888
Zr: 0.827 0.045 0.388
I: 0.141 0.389 0.008
Zr: 0.045 0.827 0.388
I: 0.712 0.465 0.248
Mn: 0.000 0.000 0.500
Zr: 0.635 0.635 0.099
I: 0.153 0.153 0.759
I: 0.394 0.894 0.750
I: 0.111 0.359 0.508
I: 0.965 0.212 0.252
I: 0.535 0.288 0.752
I: 0.641 0.889 0.492

Values from the calculation:
- E_form (uncorrected) (eV/atom) = -0.96

Entry 2:
Here is a relaxed Cs2Mo2I crystal from Alexandria via LeMat-Bulk. Energies are from PBE.

a b c (Å): 3.686 3.686 12.855
angles (deg): 81.76 81.76 90.00
Atoms (fractional coordinates):
I: 0.000 0.000 0.000
Mo: 0.750 0.250 0.500
Cs: 0.394 0.394 0.211
Cs: 0.606 0.606 0.789
Mo: 0.250 0.750 0.500

Values from the calculation:
- excess energy over the best structure of this formula in the dataset (meV/atom) = 0
- E_form (uncorrected) (eV/atom) = 0.42

Entry 3:
Here is a relaxed Cs3Mo2I9 crystal from Alexandria via LeMat-Bulk. Energies are from PBE.

a b c (Å): 8.397 8.397 20.540
angles (deg): 90.00 90.00 120.00
Site moments in Bohr magnetons follow the coordinates.
Atoms (fractional coordinates):
Cs: 0.667 0.333 0.938  0.00
I: 0.504 0.496 0.250  0.02
Cs: 0.000 0.000 0.250  0.00
Cs: 0.333 0.667 0.438  0.00
I: 0.496 0.504 0.750  0.02
I: 0.496 0.993 0.750  0.02
I: 0.177 0.354 0.903  0.00
Mo: 0.667 0.333 0.178  1.61
Mo: 0.667 0.333 0.322  1.61
I: 0.007 0.504 0.750  0.02
I: 0.646 0.823 0.903  0.00
I: 0.823 0.646 0.403  0.00
I: 0.354 0.177 0.403  0.00
I: 0.177 0.823 0.903  0.00
I: 0.823 0.177 0.403  0.00
Cs: 0.000 0.000 0.750  0.00
I: 0.646 0.823 0.597  0.00
Mo: 0.333 0.667 0.678  1.61
Mo: 0.333 0.667 0.822  1.61
I: 0.177 0.823 0.597  0.00
I: 0.177 0.354 0.597  0.00
I: 0.823 0.177 0.097  0.00
I: 0.354 0.177 0.097  0.00
Cs: 0.667 0.333 0.562  0.00
I: 0.823 0.646 0.097  0.00
I: 0.504 0.007 0.250  0.02
I: 0.993 0.496 0.250  0.02
Cs: 0.333 0.667 0.062  0.00

Values from the calculation:
- E_form (uncorrected) (eV/atom) = -0.79

Asked for calculated volume across the records above, the calculation gives 833.14, 171.07, 627.05 Å³/f.u. in order.